# 1
The following is a PBE calculation of crystalline PuZn2Ga at its relaxed geometry, from the Alexandria database.

Cell and atoms, written as POSCAR:
```
PuZn2Ga
1.0
5.5813 0.0000 0.0000
0.0000 9.9432 0.0000
0.0000 0.0000 2.7577
Pu Zn Ga
2 4 2
direct
0.0000 0.0000 0.0000
0.5000 0.5000 0.0000
0.2500 0.2500 0.5000
0.2500 0.7500 0.5000
0.7500 0.2500 0.5000
0.7500 0.7500 0.5000
0.0000 0.5000 0.5000
0.5000 0.0000 0.5000
```

* total DFT energy (no corrections): -40.78 eV per cell
* DOS(E_F): 13.42 states/eV/cell
* calculated volume: 76.5 Å³/f.u.
* energy of formation: -121 meV/atom

***

# 2
The following is a PBE calculation of crystalline PuZn4Ga2 at its relaxed geometry, from the Alexandria database.

Cell and atoms, written as POSCAR:
```
PuZn4Ga2
1.0
4.0969 0.0000 0.0000
0.0000 14.7348 0.0000
0.0000 0.0000 4.0962
Pu Zn Ga
2 8 4
direct
0.0000 0.0000 0.0000
0.5000 0.5000 0.0000
0.0000 0.1864 0.5000
0.0000 0.3101 0.0000
0.0000 0.6899 0.0000
0.0000 0.8136 0.5000
0.5000 0.1899 0.0000
0.5000 0.3136 0.5000
0.5000 0.6864 0.5000
0.5000 0.8101 0.0000
0.0000 0.4160 0.5000
0.0000 0.5840 0.5000
0.5000 0.0840 0.5000
0.5000 0.9160 0.5000
```

* total DFT energy (no corrections): -53.51 eV per cell
* DOS(E_F): 22.23 states/eV/cell
* calculated volume: 123.6 Å³/f.u.
* energy of formation: -182 meV/atom

***

# 3
The following is a PBE calculation of crystalline Pu2Zn3Ga5 at its relaxed geometry, from the Alexandria database.

Cell and atoms, written as POSCAR:
```
Pu2Zn3Ga5
1.0
-5.4005 5.9219 2.9567
5.4005 -5.9219 2.9567
5.4005 5.9219 -2.9567
Pu Zn Ga
4 6 10
direct
0.1264 0.2467 0.3731
0.3736 0.7467 0.1203
0.6264 0.2533 0.8797
0.8736 0.7533 0.6269
0.1267 0.8672 0.9938
0.2500 0.7500 0.5000
0.3733 0.3672 0.7405
0.6267 0.6328 0.2595
0.7500 0.2500 0.5000
0.8733 0.1328 0.0062
0.0052 0.7500 0.2552
0.1200 0.6434 0.7634
0.2500 0.2500 0.0000
0.3800 0.1434 0.5234
0.4948 0.7500 0.7448
0.5052 0.2500 0.2552
0.6200 0.8566 0.4766
0.7500 0.7500 0.0000
0.8800 0.3566 0.2366
0.9948 0.2500 0.7448
```

* total DFT energy (no corrections): -100.60 eV per cell
* energy above the most stable polymorph in this dataset: 0.00 eV/f.u.
* DOS(E_F): 48.96 states/eV/cell
* calculated volume: 189.1 Å³/f.u.
* energy of formation: -268 meV/atom

***

# 4
The following is a PBE calculation of crystalline Pu2ZnGa8 at its relaxed geometry, from the Alexandria database.

Cell and atoms, written as POSCAR:
```
Pu2ZnGa8
1.0
4.3821 0.0000 0.0000
0.0000 4.3821 0.0000
0.0000 0.0000 11.0775
Pu Zn Ga
2 1 8
direct
0.0000 0.0000 0.1907
0.0000 0.0000 0.8093
0.0000 0.0000 0.5000
0.0000 0.5000 0.0000
0.0000 0.5000 0.3696
0.0000 0.5000 0.6304
0.5000 0.0000 0.0000
0.5000 0.0000 0.3696
0.5000 0.0000 0.6304
0.5000 0.5000 0.1911
0.5000 0.5000 0.8089
```

* total DFT energy (no corrections): -57.19 eV per cell
* DOS(E_F): 18.68 states/eV/cell
* calculated volume: 212.7 Å³/f.u.
* energy of formation: -276 meV/atom

***

# 5
The following is a PBE calculation of crystalline Pu2Zn16Ga at its relaxed geometry, from the Alexandria database.

Cell and atoms, written as POSCAR:
```
Pu2Zn16Ga
1.0
4.5210 2.6102 4.3976
-4.5210 2.6102 4.3976
0.0000 -5.2204 4.3976
Pu Zn Ga
2 16 1
direct
0.0000 0.0000 0.0000
0.3316 0.3316 0.3316
0.0176 0.0176 0.5039
0.0176 0.5039 0.0176
0.1609 0.6685 0.6685
0.3114 0.3114 0.8312
0.3114 0.8312 0.3114
0.3659 0.6656 0.9660
0.3659 0.9660 0.6656
0.5039 0.0176 0.0176
0.6656 0.3659 0.9660
0.6656 0.9660 0.3659
0.6685 0.1609 0.6685
0.6685 0.6685 0.1609
0.7632 0.7632 0.7632
0.8312 0.3114 0.3114
0.9660 0.3659 0.6656
0.9660 0.6656 0.3659
0.5639 0.5639 0.5639
```

* total DFT energy (no corrections): -54.91 eV per cell
* DOS(E_F): 22.66 states/eV/cell
* calculated volume: 311.4 Å³/f.u.
* energy of formation: -149 meV/atom

***

# 6
The following is a PBE calculation of crystalline Pu2Zn5Ga3 at its relaxed geometry, from the Alexandria database.

Cell and atoms, written as POSCAR:
```
Pu2Zn5Ga3
1.0
-5.3442 5.9203 2.9679
5.3442 -5.9203 2.9679
5.3442 5.9203 -2.9679
Pu Zn Ga
4 10 6
direct
0.1236 0.2460 0.3697
0.3764 0.7460 0.1224
0.6236 0.2540 0.8776
0.8764 0.7540 0.6303
0.0051 0.7500 0.2551
0.1284 0.8687 0.9971
0.2500 0.7500 0.5000
0.3716 0.3687 0.7403
0.4949 0.7500 0.7449
0.5051 0.2500 0.2551
0.6284 0.6313 0.2597
0.7500 0.2500 0.5000
0.8716 0.1313 0.0029
0.9949 0.2500 0.7449
0.1246 0.6412 0.7657
0.2500 0.2500 0.0000
0.3754 0.1412 0.5166
0.6246 0.8588 0.4834
0.7500 0.7500 0.0000
0.8754 0.3588 0.2343
```

* total DFT energy (no corrections): -92.63 eV per cell
* energy above the most stable polymorph in this dataset: 0.00 eV/f.u.
* DOS(E_F): 49.75 states/eV/cell
* calculated volume: 187.8 Å³/f.u.
* energy of formation: -220 meV/atom

***

# 7
The following is a PBE calculation of crystalline Pu4ZnGa12 at its relaxed geometry, from the Alexandria database.

Cell and atoms, written as POSCAR:
```
Pu4ZnGa12
1.0
-4.3444 4.3444 4.3444
4.3444 -4.3444 4.3444
4.3444 4.3444 -4.3444
Pu Zn Ga
4 1 12
direct
0.0000 0.0000 0.5000
0.0000 0.5000 0.0000
0.5000 0.0000 0.0000
0.5000 0.5000 0.5000
0.0000 0.0000 0.0000
0.0000 0.2989 0.2989
0.0000 0.7011 0.7011
0.2500 0.5000 0.7500
0.2500 0.7500 0.5000
0.2989 0.0000 0.2989
0.2989 0.2989 0.0000
0.5000 0.2500 0.7500
0.5000 0.7500 0.2500
0.7011 0.0000 0.7011
0.7011 0.7011 0.0000
0.7500 0.2500 0.5000
0.7500 0.5000 0.2500
```

* total DFT energy (no corrections): -100.84 eV per cell
* DOS(E_F): 35.96 states/eV/cell
* calculated volume: 328.0 Å³/f.u.
* energy of formation: -348 meV/atom

***

# 8
The following is a PBE calculation of crystalline PuZn3Ga3 at its relaxed geometry, from the Alexandria database.

Cell and atoms, written as POSCAR:
```
PuZn3Ga3
1.0
0.0000 5.9337 5.9337
5.9337 0.0000 5.9337
5.9337 5.9337 0.0000
Pu Zn Ga
2 6 6
direct
0.2500 0.2500 0.2500
0.7500 0.7500 0.7500
0.1511 0.1511 0.8489
0.1511 0.8489 0.1511
0.1511 0.8489 0.8489
0.8489 0.1511 0.1511
0.8489 0.1511 0.8489
0.8489 0.8489 0.1511
0.3448 0.3448 0.6552
0.3448 0.6552 0.3448
0.3448 0.6552 0.6552
0.6552 0.3448 0.3448
0.6552 0.3448 0.6552
0.6552 0.6552 0.3448
```

* total DFT energy (no corrections): -47.31 eV per cell
* DOS(E_F): 48.85 states/eV/cell
* calculated volume: 208.9 Å³/f.u.
* energy of formation: 511 meV/atom